VASP calculation (GGA-PBE) on a geometry-optimized Tb2Sm5Dy structure.

Cell: 7.206 14.417 5.083 Å, 90.00 90.00 90.00°
Atoms (fractional coordinates):
1 Tb 0.250 0.124 0.000
2 Tb 0.250 0.624 0.000
3 Tb 0.750 0.376 0.000
4 Tb 0.750 0.876 0.000
5 Sm 0.000 0.000 0.500
6 Sm 0.000 0.251 0.500
7 Sm 0.000 0.749 0.500
8 Sm 0.250 0.375 0.000
9 Sm 0.250 0.875 0.000
10 Sm 0.500 0.249 0.500
11 Sm 0.500 0.500 0.500
12 Sm 0.500 0.751 0.500
13 Sm 0.750 0.125 0.000
14 Sm 0.750 0.625 0.000
15 Dy 0.000 0.500 0.500
16 Dy 0.500 0.000 0.500

Calculated values
Calculated total energy (eV per atom): -4.667
Mass density (g/cm³): 7.75
ΔE to the lowest computed polymorph (eV/f.u.): 0.00
E_form (eV per atom): 0.02
Fermi-level density of states (states/eV per cell): 22.26